No. 1
IrPtCl: optimized geometry, PBE-GGA.

- M_tot (μB per cell) = 7.72
- E_form (uncorrected) (meV per atom) = 926.2
- volume (Å³/atom) = 19.26

The structure in POSCAR format:
```
IrPtCl
1.0
6.1366 0.0000 0.0000
0.0000 6.1366 0.0000
0.0000 0.0000 6.1366
Ir Pt Cl
4 4 4
Direct
0.0000 0.0000 0.0000
0.0000 0.5000 0.5000
0.5000 0.0000 0.5000
0.5000 0.5000 0.0000
0.2500 0.2500 0.2500
0.2500 0.7500 0.7500
0.7500 0.2500 0.7500
0.7500 0.7500 0.2500
0.2500 0.2500 0.7500
0.2500 0.7500 0.2500
0.7500 0.2500 0.2500
0.7500 0.7500 0.7500
```

=====

No. 2
IrPt3Cl: optimized geometry, PBE-GGA.

- M_tot (μB per cell) = 0.00
- E_form (uncorrected) (meV per atom) = 1388.4
- volume (Å³/atom) = 17.72

The structure in POSCAR format:
```
IrPt3Cl
1.0
4.4583 0.0000 0.0000
0.0000 4.4583 0.0000
0.0000 0.0000 4.4583
Ir Pt Cl
1 3 1
Direct
0.0000 0.0000 0.0000
0.0000 0.5000 0.5000
0.5000 0.0000 0.5000
0.5000 0.5000 0.0000
0.5000 0.5000 0.5000
```

=====

No. 3
IrPt4Cl: optimized geometry, PBE-GGA.

- M_tot (μB per cell) = 1.83
- E_form (uncorrected) (meV per atom) = 797.7
- volume (Å³/atom) = 17.40

The structure in POSCAR format:
```
IrPt4Cl
1.0
0.0000 3.7371 3.7371
3.7371 0.0000 3.7371
3.7371 3.7371 0.0000
Ir Pt Cl
1 4 1
Direct
0.0000 0.0000 0.0000
0.1243 0.6252 0.6252
0.6252 0.1243 0.6252
0.6252 0.6252 0.1243
0.6252 0.6252 0.6252
0.2500 0.2500 0.2500
```

=====

No. 4
IrPt3Cl: optimized geometry, PBE-GGA.

- M_tot (μB per cell) = 0.00
- E_form (uncorrected) (meV per atom) = 1359.9
- volume (Å³/atom) = 23.11

The structure in POSCAR format:
```
IrPt3Cl
1.0
4.8710 0.0000 0.0000
0.0000 4.8710 0.0000
0.0000 0.0000 4.8710
Ir Pt Cl
1 3 1
Direct
0.0000 0.0000 0.0000
0.0000 0.0000 0.5000
0.0000 0.5000 0.0000
0.5000 0.0000 0.0000
0.5000 0.5000 0.5000
```